No. 1
A geometry-optimized Ac3Ni2Pt4Pb2 structure, computed with PBE.

Values from the calculation:
ΔE_f ... -0.64 eV per atom
Spin magnetization ... 0.67 μB per cell
Crystal system ... trigonal
Electronic total energy ... -5.6866 eV per atom

```
Ac3Ni2Pt4Pb2
1.0
4.422 0.000 0.000
-2.211 3.830 0.000
0.000 0.000 16.401
Ac Ni Pt Pb
3 2 4 2
direct
0.000 0.000 0.000
0.000 0.000 0.251
0.000 0.000 0.749
0.333 0.667 0.125
0.667 0.333 0.875
0.333 0.667 0.365
0.333 0.667 0.874
0.667 0.333 0.126
0.667 0.333 0.635
0.333 0.667 0.568
0.667 0.333 0.432
```

No. 2
A geometry-optimized NaIn2Sn5 structure, computed with PBE.

Values from the calculation:
ΔE_f ... 0.00 eV per atom
Spin magnetization ... 0.00 μB per cell
Crystal system ... tetragonal
Electronic total energy ... -3.3501 eV per atom

```
NaIn2Sn5
1.0
-4.047 4.047 3.322
4.047 -4.047 3.322
4.047 4.047 -3.322
Na In Sn
1 2 5
direct
0.000 0.000 0.000
0.000 0.500 0.500
0.500 0.000 0.500
0.000 0.000 0.500
0.000 0.500 0.000
0.500 0.000 0.000
0.500 0.500 0.000
0.500 0.500 0.500
```

No. 3
A geometry-optimized MgBClO2 structure, computed with PBE.

Values from the calculation:
Spin magnetization ... 0.00 μB per cell
Crystal system ... monoclinic
Raw formation energy ... -2.1193 eV/atom
Electronic total energy ... -6.1263 eV per atom

```
MgBClO2
1.0
5.811 0.000 0.000
0.000 3.644 0.000
-1.701 0.000 7.786
Mg B Cl O
2 2 2 4
direct
0.146 0.250 0.390
0.854 0.750 0.610
0.352 0.750 0.676
0.648 0.250 0.324
0.193 0.750 0.861
0.807 0.250 0.139
0.181 0.750 0.523
0.421 0.250 0.294
0.579 0.750 0.706
0.819 0.250 0.477
```

No. 4
A geometry-optimized TcSBr structure, computed with PBE.

Values from the calculation:
Polymorph energy (0 for the lowest one) ... 0.0 meV/atom
Spin magnetization ... 2.09 μB per cell
Crystal system ... monoclinic
Raw formation energy ... -0.3872 eV/atom
Electronic total energy ... -5.7759 eV per atom

```
TcSBr
1.0
6.685 -1.679 0.000
6.685 1.679 0.000
-0.241 0.000 7.603
Tc S Br
2 2 2
direct
0.185 0.185 0.412
0.815 0.815 0.588
0.355 0.355 0.388
0.645 0.645 0.612
0.373 0.373 0.835
0.627 0.627 0.165
```